! ScP2 GGA-PBE relaxed; values from VASP
&SYSTEM
  ibrav = 0, nat = 9, ntyp = 2
/
ATOMIC_SPECIES
Sc 44.96 Sc.upf
P 30.97 P.upf
CELL_PARAMETERS angstrom
7.623 0.000 0.000
-3.812 6.602 0.000
0.000 0.000 3.255
ATOMIC_POSITIONS angstrom
Sc 0.000 0.000 0.000
Sc 0.000 4.401 1.628
Sc 3.812 2.201 1.628
P -1.099 1.904 1.628
P -1.922 3.329 0.000
P 2.198 0.000 1.628
P 1.890 3.273 0.000
P 3.844 0.000 0.000
P 2.712 4.698 1.628
! symmetry: P-62m (189)
! calculated total energy: -6.35 eV/atom
! energy of formation from the pure elements: -60.8 kJ per mole of atoms

***

! ScP3 GGA-PBE relaxed; values from VASP
&SYSTEM
  ibrav = 0, nat = 8, ntyp = 2
/
ATOMIC_SPECIES
Sc 44.96 Sc.upf
P 30.97 P.upf
CELL_PARAMETERS angstrom
5.285 0.000 0.000
0.000 6.996 0.000
0.000 0.000 3.469
ATOMIC_POSITIONS angstrom
Sc 0.000 0.000 0.000
Sc 2.643 3.498 0.000
P 0.000 3.498 0.000
P 1.321 1.749 1.735
P 1.321 5.247 1.735
P 2.643 0.000 0.000
P 3.964 1.749 1.735
P 3.964 5.247 1.735
! symmetry: Cmmm (65)
! calculated total energy: -5.89 eV/atom
! energy of formation from the pure elements: -24.5 kJ per mole of atoms

***

! Sc3P GGA-PBE relaxed; values from VASP
&SYSTEM
  ibrav = 0, nat = 4, ntyp = 2
/
ATOMIC_SPECIES
Sc 44.96 Sc.upf
P 30.97 P.upf
CELL_PARAMETERS angstrom
4.225 0.000 0.000
0.000 4.225 0.000
0.000 0.000 4.225
ATOMIC_POSITIONS angstrom
Sc 0.000 0.000 2.112
Sc 0.000 2.112 0.000
Sc 2.112 0.000 0.000
P 2.112 2.112 2.112
! symmetry: Pm-3m (221)
! relative energy among the computed polymorphs: 360 meV/atom
! calculated total energy: -6.55 eV/atom
! energy of formation from the pure elements: -43.3 kJ per mole of atoms

***

! Sc3P GGA-PBE relaxed; values from VASP
&SYSTEM
  ibrav = 0, nat = 16, ntyp = 2
/
ATOMIC_SPECIES
Sc 44.96 Sc.upf
P 30.97 P.upf
CELL_PARAMETERS angstrom
6.816 0.000 0.000
0.000 8.402 0.000
0.000 0.000 5.734
ATOMIC_POSITIONS angstrom
Sc 0.182 2.101 0.784
Sc 1.200 0.419 3.730
Sc 1.200 3.782 3.730
Sc 2.208 4.620 0.863
Sc 2.208 7.983 0.863
Sc 3.226 6.302 3.650
Sc 3.590 2.101 2.083
Sc 4.608 0.419 4.871
Sc 4.608 3.782 4.871
Sc 5.616 4.620 2.004
Sc 5.616 7.983 2.004
Sc 6.634 6.302 4.950
P 0.844 6.302 2.458
P 2.564 2.101 5.325
P 4.252 6.302 0.409
P 5.972 2.101 3.276
! symmetry: Pnma (62)
! relative energy among the computed polymorphs: 0 meV/atom
! calculated total energy: -6.91 eV/atom
! energy of formation from the pure elements: -78.0 kJ per mole of atoms

***

! Sc3P GGA-PBE relaxed; values from VASP
&SYSTEM
  ibrav = 0, nat = 4, ntyp = 2
/
ATOMIC_SPECIES
Sc 44.96 Sc.upf
P 30.97 P.upf
CELL_PARAMETERS angstrom
3.572 0.000 0.000
-1.786 3.093 0.000
0.000 0.000 8.318
ATOMIC_POSITIONS angstrom
Sc 0.000 0.000 0.000
Sc 1.786 1.031 2.559
Sc 1.786 1.031 5.759
P 0.000 0.000 4.159
! symmetry: P-6m2 (187)
! relative energy among the computed polymorphs: 246 meV/atom
! calculated total energy: -6.66 eV/atom
! energy of formation from the pure elements: -54.3 kJ per mole of atoms

***

! Sc2P GGA-PBE relaxed; values from VASP
&SYSTEM
  ibrav = 0, nat = 12, ntyp = 2
/
ATOMIC_SPECIES
Sc 44.96 Sc.upf
P 30.97 P.upf
CELL_PARAMETERS angstrom
6.196 0.000 0.000
0.000 6.196 0.000
0.000 0.000 6.196
ATOMIC_POSITIONS angstrom
Sc 1.549 1.549 1.549
Sc 1.549 1.549 4.647
Sc 1.549 4.647 1.549
Sc 1.549 4.647 4.647
Sc 4.647 1.549 1.549
Sc 4.647 1.549 4.647
Sc 4.647 4.647 1.549
Sc 4.647 4.647 4.647
P 0.000 0.000 0.000
P 0.000 3.098 3.098
P 3.098 0.000 3.098
P 3.098 3.098 0.000
! symmetry: Fm-3m (225)
! calculated total energy: -6.94 eV/atom
! energy of formation from the pure elements: -88.4 kJ per mole of atoms

***

! Sc4P GGA-PBE relaxed; values from VASP
&SYSTEM
  ibrav = 0, nat = 10, ntyp = 2
/
ATOMIC_SPECIES
Sc 44.96 Sc.upf
P 30.97 P.upf
CELL_PARAMETERS angstrom
7.981 0.000 0.000
0.000 7.981 0.000
0.000 0.000 3.384
ATOMIC_POSITIONS angstrom
Sc 0.614 2.099 0.000
Sc 1.892 4.604 1.692
Sc 2.099 7.367 0.000
Sc 3.377 1.892 1.692
Sc 4.604 6.089 1.692
Sc 5.882 0.614 0.000
Sc 6.089 3.377 1.692
Sc 7.367 5.882 0.000
P 0.000 0.000 1.692
P 3.991 3.991 0.000
! symmetry: I4/m (87)
! relative energy among the computed polymorphs: 0 meV/atom
! calculated total energy: -6.62 eV/atom
! energy of formation from the pure elements: -45.8 kJ per mole of atoms

***

! Sc2P GGA-PBE relaxed; values from VASP
&SYSTEM
  ibrav = 0, nat = 6, ntyp = 2
/
ATOMIC_SPECIES
Sc 44.96 Sc.upf
P 30.97 P.upf
CELL_PARAMETERS angstrom
4.628 0.000 0.000
-2.314 4.008 0.000
0.000 0.000 5.726
ATOMIC_POSITIONS angstrom
Sc 0.000 0.000 0.000
Sc 0.000 0.000 2.863
Sc 0.000 2.672 1.432
Sc 2.314 1.336 4.295
P 0.000 2.672 4.295
P 2.314 1.336 1.432
! symmetry: P6_3/mmc (194)
! calculated total energy: -6.81 eV/atom
! energy of formation from the pure elements: -75.8 kJ per mole of atoms

***

! ScP3 GGA-PBE relaxed; values from VASP
&SYSTEM
  ibrav = 0, nat = 16, ntyp = 2
/
ATOMIC_SPECIES
Sc 44.96 Sc.upf
P 30.97 P.upf
CELL_PARAMETERS angstrom
5.349 0.000 0.000
0.000 10.363 0.000
0.000 0.000 4.845
ATOMIC_POSITIONS angstrom
Sc 0.000 1.249 1.211
Sc 0.000 9.114 3.633
Sc 2.675 3.932 3.633
Sc 2.675 6.431 1.211
P 0.000 2.901 3.633
P 0.000 7.462 1.211
P 1.259 4.012 1.211
P 1.259 6.351 3.633
P 1.415 1.169 3.633
P 1.415 9.194 1.211
P 2.675 2.281 1.211
P 2.675 8.083 3.633
P 3.934 1.169 3.633
P 3.934 9.194 1.211
P 4.090 4.012 1.211
P 4.090 6.351 3.633
! symmetry: Cmcm (63)
! calculated total energy: -5.98 eV/atom
! energy of formation from the pure elements: -32.9 kJ per mole of atoms

***

! Sc2P GGA-PBE relaxed; values from VASP
&SYSTEM
  ibrav = 0, nat = 12, ntyp = 2
/
ATOMIC_SPECIES
Sc 44.96 Sc.upf
P 30.97 P.upf
CELL_PARAMETERS angstrom
3.623 0.000 0.000
0.000 5.463 0.000
0.000 0.000 11.767
ATOMIC_POSITIONS angstrom
Sc 0.000 0.000 2.349
Sc 0.000 0.000 9.418
Sc 0.000 1.310 5.884
Sc 0.000 4.152 5.884
Sc 1.812 1.421 0.000
Sc 1.812 2.731 3.535
Sc 1.812 2.731 8.233
Sc 1.812 4.042 0.000
P 0.000 2.731 1.667
P 0.000 2.731 10.100
P 1.812 0.000 4.216
P 1.812 0.000 7.551
! symmetry: Immm (71)
! calculated total energy: -7.00 eV/atom
! energy of formation from the pure elements: -94.5 kJ per mole of atoms